Density functional theory data (PBE) for a relaxed structure of Ta2TiCl.

Values from the calculation:
V	17.5	Å³/atom
density	10573	kg/m³
energy relative to the elements, uncorrected	0.8294	eV/atom
Fermi-level density of states	1.17	states/eV per atom
ΔE to the lowest computed polymorph	247	meV per atom

abc: 6.5397 6.5397 6.5397
angles: 90.00 90.00 90.00
Space group Fm-3m (No. 225)
Asymmetric unit:
Ta: 0.2500 0.2500 0.2500
Ti: 0.0000 0.0000 0.0000
Cl: 0.0000 0.0000 0.5000

Density functional theory data (PBE) for a relaxed structure of Pm2PuTaN4.

Values from the calculation:
V	14.2	Å³/atom
density	11304	kg/m³
energy relative to the elements, uncorrected	-1.3151	eV/atom
Fermi-level density of states	0.88	states/eV per atom

abc: 5.8848 3.3924 5.9872
angles: 90.00 108.64 90.00
Space group P2/m (No. 10)
Asymmetric unit:
Pm: 0.0000 0.0000 0.0000
Pm: 0.5000 0.5000 0.0000
Pu: 0.0000 0.5000 0.5000
Ta: 0.5000 0.0000 0.5000
N: 0.2579 0.0000 0.7144
N: 0.2783 0.5000 0.2907

Density functional theory data (PBE) for a relaxed structure of BeTc2Se.

Values from the calculation:
V	13.5	Å³/atom
density	8710	kg/m³
energy relative to the elements, uncorrected	0.2549	eV/atom
Fermi-level density of states	0.75	states/eV per atom
ΔE to the lowest computed polymorph	288	meV per atom

abc: 5.1780 8.4355 3.0809
angles: 90.00 126.43 90.00
Space group C2 (No. 5)
Asymmetric unit:
Be: 0.0000 0.0000 0.0000
Tc: 0.0000 0.2256 0.5000
Tc: 0.0000 0.4986 0.0000
Se: 0.0000 0.7454 0.5000

Density functional theory data (PBE) for a relaxed structure of ZrTcAsPb2.

Values from the calculation:
V	26.7	Å³/atom
density	8429	kg/m³
Fermi-level density of states	1.59	states/eV per atom
uncorrected energy	-5.4664	eV per atom

abc: 5.3797 5.3797 4.6190
angles: 90.00 90.00 90.00
Space group P4/mmm (No. 123)
Asymmetric unit:
Zr: 0.0000 0.0000 0.0000
Tc: 0.5000 0.5000 0.5000
As: 0.5000 0.5000 0.0000
Pb: 0.0000 0.5000 0.5000

Density functional theory data (PBE) for a relaxed structure of PmThN2.

Values from the calculation:
V	17.1	Å³/atom
density	9841	kg/m³
energy relative to the elements, uncorrected	-1.5420	eV/atom
Fermi-level density of states	0.39	states/eV per atom
ΔE to the lowest computed polymorph	8	meV per atom

abc: 3.6475 3.6475 17.7956
angles: 90.00 90.00 120.00
Space group R-3m (No. 166, hexagonal axes)
Asymmetric unit:
Pm: 0.0000 0.0000 0.0000
Th: 0.0000 0.0000 0.5000
N: 0.0000 0.0000 0.2460

Density functional theory data (PBE) for a relaxed structure of Y3HgO.

Values from the calculation:
V	25.3	Å³/atom
density	6332	kg/m³
energy relative to the elements, uncorrected	-1.3484	eV/atom
Fermi-level density of states	0.82	states/eV per atom
ΔE to the lowest computed polymorph	53	meV per atom

abc: 3.7647 14.1211 9.5361
angles: 90.00 90.00 90.00
Space group Cmcm (No. 63)
Asymmetric unit:
Y: 0.0000 0.0428 0.2500
Y: 0.0000 0.3585 0.0647
Hg: 0.0000 0.2768 0.7500
O: 0.0000 0.4545 0.2500

Density functional theory data (PBE) for a relaxed structure of NiTeRu.

Values from the calculation:
V	18.4	Å³/atom
density	8663	kg/m³
energy relative to the elements, uncorrected	0.2855	eV/atom
Fermi-level density of states	1.29	states/eV per atom
ΔE to the lowest computed polymorph	138	meV per atom

abc: 3.9048 3.9048 8.3421
angles: 90.00 90.00 120.00
Space group P-6m2 (No. 187)
Asymmetric unit:
Ni: 0.0000 0.0000 0.0000
Ni: 0.3333 0.6667 0.5000
Te: 0.3333 0.6667 0.1907
Ru: 0.0000 0.0000 0.3418

Density functional theory data (PBE) for a relaxed structure of SiWS.

Values from the calculation:
V	17.9	Å³/atom
density	7540	kg/m³
energy relative to the elements, uncorrected	0.1166	eV/atom
Fermi-level density of states	0.60	states/eV per atom

abc: 6.3490 4.1746 8.3327
angles: 90.00 103.30 90.00
Space group C2/m (No. 12)
Asymmetric unit:
Si: 0.1899 0.0000 0.0509
W: 0.2013 0.5000 0.6176
S: 0.1335 0.5000 0.3143

Density functional theory data (PBE) for a relaxed structure of NdTmVN3.

Values from the calculation:
V	15.5	Å³/atom
density	7252	kg/m³
energy relative to the elements, uncorrected	-1.2481	eV/atom
Fermi-level density of states	0.52	states/eV per atom

abc: 7.3183 3.4408 7.4925
angles: 90.00 99.65 90.00
Space group P2_1/m (No. 11)
Asymmetric unit:
Nd: 0.1808 0.2500 0.1814
Tm: 0.3658 0.7500 0.8386
V: 0.0914 0.2500 0.5984
N: 0.1182 0.2500 0.8462
N: 0.1715 0.7500 0.5183
N: 0.4116 0.7500 0.1454

Density functional theory data (PBE) for a relaxed structure of TcSb8.

Values from the calculation:
V	26.8	Å³/atom
density	7393	kg/m³
energy relative to the elements, uncorrected	0.1832	eV/atom
Fermi-level density of states	0.41	states/eV per atom

abc: 12.0791 12.0791 3.3007
angles: 90.00 90.00 90.00
Space group I4/mmm (No. 139)
Asymmetric unit:
Tc: 0.0000 0.0000 0.0000
Sb: 0.0000 0.3397 0.0000
Sb: 0.1345 0.1345 0.5000

Density functional theory data (PBE) for a relaxed structure of AcSbAu3.

Values from the calculation:
V	25.4	Å³/atom
density	12307	kg/m³
energy relative to the elements, uncorrected	-0.5386	eV/atom
Fermi-level density of states	0.49	states/eV per atom
ΔE to the lowest computed polymorph	59	meV per atom

abc: 4.0963 27.5635 4.4917
angles: 90.00 90.00 90.00
Space group Cmcm (No. 63)
Asymmetric unit:
Ac: 0.0000 0.0816 0.2500
Sb: 0.0000 0.2025 0.7500
Au: 0.0000 0.3048 0.7500
Au: 0.0000 0.3706 0.2500
Au: 0.0000 0.4708 0.2500

Density functional theory data (PBE) for a relaxed structure of Ac8Dy2Mg.

Values from the calculation:
V	41.9	Å³/atom
density	7796	kg/m³
Fermi-level density of states	1.45	states/eV per atom
uncorrected energy	-3.8423	eV per atom

abc: 5.7859 9.7085 16.4209
angles: 90.00 90.00 90.00
Space group Immm (No. 71)
Asymmetric unit:
Ac: 0.0000 0.0000 0.1448
Ac: 0.0000 0.2168 0.3418
Ac: 0.0000 0.3139 0.0000
Dy: 0.0000 0.5000 0.2006
Mg: 0.0000 0.5000 0.5000